Run a
TbPr2Dy3 after structural relaxation, computed with PBE-GGA.

Magnetization (μB per cell): 0.0

Lattice parameters (Å, degrees): 17.1344 5.6064 10.1493 90.00 124.71 90.00
Space group C2/m (No. 12)
Asymmetric unit:
Tb 0.1338 0.0000 0.1408 x4
Pr 0.0102 0.5000 0.8599 x4
Pr 0.2285 0.0000 0.8706 x4
Dy 0.0498 0.0000 0.3968 x4
Dy 0.1125 0.5000 0.6558 x4
Dy 0.2071 0.5000 0.4250 x4

Run b
TbPr2Dy3 after structural relaxation, computed with PBE-GGA.

Magnetization (μB per cell): 0.0

Lattice parameters (Å, degrees): 23.4933 3.5147 10.3190 90.00 108.46 90.00
Space group C2/m (No. 12)
Asymmetric unit:
Tb 0.1894 0.0000 0.0361 x4
Pr 0.0682 0.5000 0.1346 x4
Pr 0.1905 0.0000 0.3704 x4
Dy 0.0586 0.0000 0.4457 x4
Dy 0.0700 0.5000 0.7646 x4
Dy 0.1946 0.0000 0.7160 x4

Quick one: most stable of them? run a

Run a
TbPrDyTh after structural relaxation, computed with PBE-GGA.

Magnetization (μB per cell): 0.0

Lattice parameters (Å, degrees): 8.0864 8.0864 8.0864 90.00 90.00 90.00
Space group F-43m (No. 216)
Asymmetric unit:
Tb 0.0000 0.0000 0.0000 x4
Pr 0.2500 0.2500 0.7500 x4
Dy 0.0000 0.0000 0.5000 x4
Th 0.2500 0.2500 0.2500 x4

Run b
TbPrDyTh after structural relaxation, computed with PBE-GGA.

Magnetization (μB per cell): 0.0

Lattice parameters (Å, degrees): 3.6028 3.6028 10.1509 90.00 90.00 90.00
Space group P4mm (No. 99)
Asymmetric unit:
Tb 0.0000 0.0000 0.0000 x1
Pr 0.5000 0.5000 0.7379 x1
Dy 0.0000 0.0000 0.4773 x1
Th 0.5000 0.5000 0.2392 x1

Quick one: most stable of them? run b

Run a
TbPrDyTl after structural relaxation, computed with PBE-GGA.

Magnetization (μB per cell): 0.0

Lattice parameters (Å, degrees): 4.8586 4.9376 4.9594 90.00 90.00 90.00
Space group Pmmm (No. 47)
Asymmetric unit:
Tb 0.0000 0.0000 0.0000 x1
Pr 0.5000 0.5000 0.0000 x1
Dy 0.0000 0.5000 0.5000 x1
Tl 0.5000 0.0000 0.5000 x1

Run b
TbPrDyTl after structural relaxation, computed with PBE-GGA.

Magnetization (μB per cell): 5.4

Lattice parameters (Å, degrees): 7.8489 7.8489 7.8489 90.00 90.00 90.00
Space group F-43m (No. 216)
Asymmetric unit:
Tb 0.0000 0.0000 0.0000 x4
Pr 0.2500 0.2500 0.2500 x4
Dy 0.2500 0.2500 0.7500 x4
Tl 0.0000 0.0000 0.5000 x4

Quick one: most stable of them? run a

Run a
TbPrDyZn after structural relaxation, computed with PBE-GGA.

Magnetization (μB per cell): 0.0

Lattice parameters (Å, degrees): 3.6072 3.6072 8.7413 90.00 90.00 90.00
Space group P4mm (No. 99)
Asymmetric unit:
Tb 0.0000 0.0000 0.0000 x1
Pr 0.5000 0.5000 0.2993 x1
Dy 0.0000 0.0000 0.5970 x1
Zn 0.5000 0.5000 0.7966 x1

Run b
TbPrDyZn after structural relaxation, computed with PBE-GGA.

Magnetization (μB per cell): 0.0

Lattice parameters (Å, degrees): 7.6567 7.6567 7.6567 90.00 90.00 90.00
Space group F-43m (No. 216)
Asymmetric unit:
Tb 0.0000 0.0000 0.0000 x4
Pr 0.0000 0.0000 0.5000 x4
Dy 0.2500 0.2500 0.2500 x4
Zn 0.2500 0.2500 0.7500 x4

Quick one: most stable of them? run a

Run a
PrDyTc after structural relaxation, computed with PBE-GGA.

Magnetization (μB per cell): 0.0

Lattice parameters (Å, degrees): 7.0320 12.5059 7.6642 90.00 90.00 90.00
Space group Cmce (No. 64)
Asymmetric unit:
Pr 0.0000 0.1971 0.1126 x8
Dy 0.2500 0.0409 0.7500 x8
Tc 0.0000 0.0962 0.4637 x8

Run b
PrDyTc after structural relaxation, computed with PBE-GGA.

Magnetization (μB per cell): 0.0

Lattice parameters (Å, degrees): 3.5135 3.5135 12.9635 90.00 90.00 90.00
Space group I4mm (No. 107)
Asymmetric unit:
Pr 0.0000 0.0000 0.0000 x2
Dy 0.0000 0.0000 0.7429 x2
Tc 0.0000 0.0000 0.3651 x2

Quick one: most stable of them? run b

Run a
PrDy2Te after structural relaxation, computed with PBE-GGA.

Magnetization (μB per cell): 2.3

Lattice parameters (Å, degrees): 3.8345 3.8345 32.6614 90.00 90.00 120.00
Space group R-3m (No. 166, hexagonal axes)
Asymmetric unit:
Pr 0.0000 0.0000 0.0000 x3
Dy 0.0000 0.0000 0.1039 x6
Te 0.0000 0.0000 0.5000 x3

Run b
PrDy2Te after structural relaxation, computed with PBE-GGA.

Magnetization (μB per cell): 0.0

Lattice parameters (Å, degrees): 3.8740 3.8740 8.0669 90.00 90.00 90.00
Space group P4/mmm (No. 123)
Asymmetric unit:
Pr 0.0000 0.0000 0.0000 x1
Dy 0.5000 0.5000 0.2826 x2
Te 0.0000 0.0000 0.5000 x1

Quick one: most stable of them? run b

Run a
PrDy2Te after structural relaxation, computed with PBE-GGA.

Magnetization (μB per cell): 0.0

Lattice parameters (Å, degrees): 3.9097 3.9097 29.8764 90.00 90.00 120.00
Space group R3m (No. 160, hexagonal axes)
Asymmetric unit:
Pr 0.0000 0.0000 0.0000 x3
Dy 0.0000 0.0000 0.2365 x3
Dy 0.0000 0.0000 0.4295 x3
Te 0.0000 0.0000 0.8331 x3

Run b
PrDy2Te after structural relaxation, computed with PBE-GGA.

Magnetization (μB per cell): 0.0

Lattice parameters (Å, degrees): 4.0018 12.2896 9.9416 90.00 90.00 90.00
Space group Cmcm (No. 63)
Asymmetric unit:
Pr 0.0000 0.0545 0.2500 x4
Dy 0.0000 0.3635 0.0345 x8
Te 0.0000 0.2307 0.7500 x4

Quick one: most stable of them? run b

Run a
PrDyTe after structural relaxation, computed with PBE-GGA.

Magnetization (μB per cell): 0.0

Lattice parameters (Å, degrees): 5.2298 5.2298 4.0825 90.00 90.00 120.00
Space group P3m1 (No. 156)
Asymmetric unit:
Pr 0.0000 0.0000 0.0000 x1
Dy 0.3333 0.6667 0.5100 x1
Te 0.6667 0.3333 0.6490 x1

Run b
PrDyTe after structural relaxation, computed with PBE-GGA.

Magnetization (μB per cell): 0.0

Lattice parameters (Å, degrees): 10.0296 12.1617 7.9215 90.00 128.86 90.00
Space group Cc (No. 9)
Asymmetric unit:
Pr 0.0000 0.2042 0.0000 x4
Pr 0.3262 0.2240 0.9535 x4
Dy 0.1791 0.4770 0.1617 x4
Dy 0.3073 0.0449 0.6139 x4
Te 0.0075 0.0470 0.6659 x4
Te 0.1497 0.3054 0.4512 x4

Quick one: most stable of them? run b

Run a
PrDyTe2 after structural relaxation, computed with PBE-GGA.

Magnetization (μB per cell): 0.0

Lattice parameters (Å, degrees): 4.3187 4.3187 23.1373 90.00 90.00 120.00
Space group R3m (No. 160, hexagonal axes)
Asymmetric unit:
Pr 0.0000 0.0000 0.0000 x3
Dy 0.0000 0.0000 0.8256 x3
Te 0.0000 0.0000 0.2414 x3
Te 0.0000 0.0000 0.4179 x3

Run b
PrDyTe2 after structural relaxation, computed with PBE-GGA.

Magnetization (μB per cell): 0.0

Lattice parameters (Å, degrees): 7.6169 4.4166 7.8077 90.00 109.18 90.00
Space group C2/m (No. 12)
Asymmetric unit:
Pr 0.0000 0.0000 0.0000 x2
Dy 0.0000 0.5000 0.5000 x2
Te 0.2450 0.0000 0.7350 x4

Quick one: most stable of them? run a

Run a
PrDyTe2 after structural relaxation, computed with PBE-GGA.

Magnetization (μB per cell): 2.8

Lattice parameters (Å, degrees): 7.6857 7.6857 7.6857 90.00 90.00 90.00
Space group Fm-3m (No. 225)
Asymmetric unit:
Pr 0.0000 0.0000 0.0000 x4
Dy 0.0000 0.0000 0.5000 x4
Te 0.2500 0.2500 0.2500 x8

Run b
PrDyTe2 after structural relaxation, computed with PBE-GGA.

Magnetization (μB per cell): 0.6

Lattice parameters (Å, degrees): 3.8378 3.8378 7.6890 90.00 90.00 90.00
Space group P4/mmm (No. 123)
Asymmetric unit:
Pr 0.0000 0.0000 0.0000 x1
Dy 0.0000 0.0000 0.5000 x1
Te 0.5000 0.5000 0.2594 x2

Quick one: most stable of them? run b

Run a
PrDy2Th after structural relaxation, computed with PBE-GGA.

Magnetization (μB per cell): 0.0

Lattice parameters (Å, degrees): 3.5985 3.5985 35.1578 90.00 90.00 120.00
Space group R3m (No. 160, hexagonal axes)
Asymmetric unit:
Pr 0.0000 0.0000 0.0000 x3
Dy 0.0000 0.0000 0.4177 x3
Dy 0.0000 0.0000 0.5825 x3
Th 0.0000 0.0000 0.1663 x3

Run b
PrDy2Th after structural relaxation, computed with PBE-GGA.

Magnetization (μB per cell): 0.0

Lattice parameters (Å, degrees): 8.0783 8.0783 8.0783 90.00 90.00 90.00
Space group Fm-3m (No. 225)
Asymmetric unit:
Pr 0.0000 0.0000 0.0000 x4
Dy 0.2500 0.2500 0.2500 x8
Th 0.0000 0.0000 0.5000 x4

Quick one: most stable of them? run a

Run a
PrDy2Th2 after structural relaxation, computed with PBE-GGA.

Magnetization (μB per cell): 0.0

Lattice parameters (Å, degrees): 3.5955 3.5955 43.7938 90.00 90.00 120.00
Space group R-3m (No. 166, hexagonal axes)
Asymmetric unit:
Pr 0.0000 0.0000 0.0000 x3
Dy 0.0000 0.0000 0.4018 x6
Th 0.0000 0.0000 0.1990 x6

Run b
PrDy2Th2 after structural relaxation, computed with PBE-GGA.

Magnetization (μB per cell): 0.0

Lattice parameters (Å, degrees): 3.5846 3.5846 14.7024 90.00 90.00 120.00
Space group P-3m1 (No. 164)
Asymmetric unit:
Pr 0.0000 0.0000 0.0000 x1
Dy 0.3333 0.6667 0.7981 x2
Th 0.3333 0.6667 0.4016 x2

Quick one: most stable of them? run a